The following is a DFT calculation (PBE) of a relaxed structure of K3NdTm2S6.

Cell: 7.0422 7.0422 7.7403 Å, 98.73 98.73 120.00°
Element x y z (fractional)
1 S 0.7224 0.7224 0.2017
2 S 0.4122 0.0673 0.2018
3 S 0.0673 0.4122 0.2018
4 S 0.9327 0.5878 0.7982
5 S 0.5878 0.9327 0.7982
6 S 0.2776 0.2776 0.7983
7 Nd 0.0000 0.0000 0.0000
8 Tm 0.6668 0.3332 0.0000
9 Tm 0.3332 0.6668 0.0000
10 K 0.5000 0.5000 0.5000
11 K 0.1653 0.8347 0.5000
12 K 0.8347 0.1653 0.5000

Calculated values
The energy is -64.2 eV/cell. The calculation puts the density of states at the Fermi level at 0.000 states/eV/atom. The volume comes out at 26.39 Å³/atom.

---

The following is a DFT calculation (PBE) of a relaxed structure of TlTeS4.

Cell: 8.6258 6.6986 8.2868 Å, 113.84 112.43 90.00°
Element x y z (fractional)
1 Te 0.2274 0.5360 0.0720
2 Te 0.7726 0.4640 0.9280
3 S 0.4980 0.8586 0.1290
4 S 0.3318 0.7058 0.4116
5 S 0.5020 0.1414 0.8710
6 S 0.5020 0.7296 0.8710
7 S 0.6682 0.2942 0.5884
8 S 0.0000 0.7636 0.0000
9 S 0.4980 0.2704 0.1290
10 S 0.0000 0.2364 0.0000
11 Tl 0.7254 0.7744 0.5488
12 Tl 0.2746 0.2256 0.4512

Calculated values
The value obtained for the distance to the lowest polymorph of the same formula is 0 meV per atom. The calculation puts the density of states at the Fermi level at 0.007 states/eV/atom. The volume comes out at 33.17 Å³/atom.

---

The following is a DFT calculation (PBE) of a relaxed structure of Na2MnBr2.

Cell: 5.2081 5.2081 7.6955 Å, 70.22 70.22 90.00°
Last column: magnetic moment on the atom in μB.
Element x y z (fractional)
1 Na 0.2500 0.7500 0.5000  0.00
2 Na 0.7500 0.2500 0.5000  0.00
3 Mn 0.0000 0.0000 0.0000  4.59
4 Br 0.3410 0.3410 0.3180  0.00
5 Br 0.6590 0.6590 0.6820  0.00

Calculated values
The value obtained for the distance to the lowest polymorph of the same formula is 96 meV per atom. The calculation puts the density of states at the Fermi level at 0.000 states/eV/atom. The volume comes out at 36.66 Å³/atom.

---

The following is a DFT calculation (PBE) of a relaxed structure of KCaY2.

Cell: 7.4443 7.4443 7.4443 Å, 149.90 131.23 58.38°
Element x y z (fractional)
1 K 0.2500 0.7500 0.5000
2 Y 0.5053 0.5053 0.0000
3 Y 0.9947 0.9947 0.0000
4 Ca 0.7500 0.2500 0.5000

Calculated values
The calculation puts the formation energy at 0.386 eV/atom. The value obtained for the distance to the lowest polymorph of the same formula is 204 meV per atom. The calculation puts the density of states at the Fermi level at 1.663 states/eV/atom. The volume comes out at 38.60 Å³/atom.

---

The following is a DFT calculation (PBE) of a relaxed structure of MgBeFe2.

Cell: 4.7085 4.7085 4.7085 Å, 142.91 128.08 65.51°
Last column: magnetic moment on the atom in μB.
Element x y z (fractional)
1 Mg 0.5062 0.5062 0.0000  -0.04
2 Be 0.7672 0.2672 0.5000  -0.08
3 Fe 0.2338 0.7338 0.5000  2.35
4 Fe 0.9928 0.9928 0.0000  2.17

Calculated values
The calculation puts the formation energy at 0.219 eV/atom. The value obtained for the distance to the lowest polymorph of the same formula is 149 meV per atom. The calculation puts the density of states at the Fermi level at 0.712 states/eV/atom. The volume comes out at 12.22 Å³/atom.

---

The following is a DFT calculation (PBE) of a relaxed structure of Nd3AgSn3.

Cell: 4.7090 6.2901 14.5769 Å, 83.81 80.70 68.02°
Element x y z (fractional)
1 Ag 0.7637 0.0803 0.3923
2 Ag 0.2363 0.9197 0.6077
3 Sn 0.0227 0.1863 0.7682
4 Sn 0.8657 0.7202 0.5485
5 Sn 0.8743 0.1761 0.0752
6 Sn 0.1257 0.8239 0.9248
7 Sn 0.1343 0.2798 0.4515
8 Sn 0.9773 0.8137 0.2318
9 Nd 0.2620 0.2509 0.2252
10 Nd 0.7380 0.7491 0.7748
11 Nd 0.5330 0.3162 0.6177
12 Nd 0.4670 0.6838 0.3823
13 Nd 0.4009 0.2759 0.9223
14 Nd 0.5991 0.7241 0.0777

Calculated values
The calculation puts the formation energy at -0.689 eV/atom. The calculation puts the density of states at the Fermi level at 0.605 states/eV/atom. The volume comes out at 28.19 Å³/atom.